Here is La2ZrAg at its PBEsol-relaxed geometry from Alexandria via LeMat-Bulk. Energies are from meta-GGA SCAN.

a = 3.5469 Å, b = 5.4666 Å, c = 10.4750 Å
α = 90.00°, β = 90.00°, γ = 90.00°
Element x y z (fractional)
La 0.0000 0.0000 0.2427
La 0.0000 0.0000 0.7573
La 0.5000 0.5000 0.2573
La 0.5000 0.5000 0.7427
Zr 0.0000 0.5000 0.0000
Zr 0.5000 0.0000 0.5000
Ag 0.0000 0.5000 0.5000
Ag 0.5000 0.0000 0.0000

Values from the calculation:
The energy of formation from the pure elements comes out at 0.154 eV/atom. The density of states at the Fermi level comes out at 4.667 states/eV/f.u.

Here is LaZr2Ag at its PBEsol-relaxed geometry from Alexandria via LeMat-Bulk. Energies are from meta-GGA SCAN.

a = 4.3891 Å, b = 4.3891 Å, c = 9.4773 Å
α = 90.00°, β = 90.00°, γ = 90.00°
Element x y z (fractional)
La 0.0000 0.0000 0.0000
La 0.5000 0.5000 0.5000
Zr 0.0000 0.5000 0.2500
Zr 0.0000 0.5000 0.7500
Zr 0.5000 0.0000 0.2500
Zr 0.5000 0.0000 0.7500
Ag 0.0000 0.0000 0.5000
Ag 0.5000 0.5000 0.0000

Values from the calculation:
The energy of formation from the pure elements comes out at 0.177 eV/atom. The density of states at the Fermi level comes out at 4.668 states/eV/f.u.

Here is LaZrAg at its PBEsol-relaxed geometry from Alexandria via LeMat-Bulk. Energies are from meta-GGA SCAN.

a = 3.3342 Å, b = 3.3342 Å, c = 7.5330 Å
α = 90.00°, β = 90.00°, γ = 120.00°
Element x y z (fractional)
La 0.0000 0.0000 0.0000
Zr 0.3333 0.6667 0.6434
Ag 0.6667 0.3333 0.3513

Values from the calculation:
The energy of formation from the pure elements comes out at 0.147 eV/atom. The density of states at the Fermi level comes out at 1.766 states/eV/f.u.

- What is the energy of formation from the pure elements in the second record?
  0.177 eV/atom

- Among the records above, which one has the highest energy of formation from the pure elements?
  LaZr2Ag